# 1
## Pu3Al5S12 (PBE)

Data for crystalline Pu3Al5S12 at its relaxed geometry.

Lattice parameters (Å, degrees): 12.9759 12.9759 12.9759 109.47 109.47 109.47
With the nearest neighbours (Å) after each atom.
Fractional coordinates of all 80 atoms:
S1 0.6779 0.4715 0.5910  2 Al 2.26-2.43
S2 0.9090 0.8221 0.5285  2 Al 2.26-2.43
S3 0.8805 0.2936 0.4715  2 Al 2.26-2.43
S4 0.1195 0.7064 0.5285  2 Al 2.26-2.43
S5 0.2064 0.6779 0.0868  2 Al 2.26-2.43
S6 0.4132 0.2936 0.3221  2 Al 2.26-2.43
S7 0.7936 0.4715 0.3805  2 Al 2.26-2.43
S8 0.3221 0.5285 0.4090  2 Al 2.26-2.43
S9 0.1779 0.0868 0.7064  2 Al 2.26-2.43
S10 0.8805 0.5868 0.9090  2 Al 2.26-2.43
S11 0.9715 0.3805 0.2936  2 Al 2.26-2.43
S12 0.4090 0.0285 0.3221  2 Al 2.26-2.43
S13 0.7064 0.1195 0.0285  2 Al 2.26-2.43
S14 0.8221 0.9090 0.0285  2 Al 2.26-2.43
S15 0.2064 0.5285 0.6195  2 Al 2.26-2.43
S16 0.4090 0.3805 0.5868  2 Al 2.26-2.43
S17 0.4715 0.6779 0.0910  2 Al 2.26-2.43
S18 0.6195 0.0285 0.2064  2 Al 2.26-2.43
S19 0.8221 0.9132 0.2936  2 Al 2.26-2.43
S20 0.9090 0.0868 0.8805  2 Al 2.26-2.43
S21 0.2936 0.8805 0.9715  2 Al 2.26-2.43
S22 0.0910 0.1779 0.4715  2 Al 2.26-2.43
S23 0.7936 0.3221 0.9132  2 Al 2.26-2.43
S24 0.4715 0.7936 0.8805  2 Al 2.26-2.43
S25 0.5868 0.8805 0.4090  2 Al 2.26-2.43
S26 0.0868 0.9090 0.3805  2 Al 2.26-2.43
S27 0.5285 0.2064 0.1195  2 Al 2.26-2.43
S28 0.7064 0.5868 0.1779  2 Al 2.26-2.43
S29 0.6195 0.5910 0.9132  2 Al 2.26-2.43
S30 0.0910 0.9132 0.1195  2 Al 2.26-2.43
S31 0.5910 0.9715 0.6779  2 Al 2.26-2.43
S32 0.3221 0.7936 0.4132  2 Al 2.26-2.43
S33 0.2936 0.4132 0.8221  2 Al 2.26-2.43
S34 0.9132 0.8221 0.7936  2 Al 2.26-2.43
S35 0.0285 0.6195 0.7064  2 Al 2.26-2.43
S36 0.9715 0.5910 0.1779  2 Al 2.26-2.43
S37 0.0868 0.1779 0.2064  2 Al 2.26-2.43
S38 0.3805 0.9715 0.7936  2 Al 2.26-2.43
S39 0.1779 0.0910 0.9715  2 Al 2.26-2.43
S40 0.6779 0.2064 0.5868  2 Al 2.26-2.43
S41 0.5910 0.6195 0.4132  2 Al 2.26-2.43
S42 0.0285 0.4090 0.8221  2 Al 2.26-2.43
S43 0.9132 0.0910 0.6195  2 Al 2.26-2.43
S44 0.5868 0.7064 0.6779  2 Al 2.26-2.43
S45 0.4132 0.1195 0.5910  2 Al 2.26-2.43
S46 0.5285 0.3221 0.9090  2 Al 2.26-2.43
S47 0.3805 0.4090 0.0868  2 Al 2.26-2.43
S48 0.1195 0.4132 0.0910  2 Al 2.26-2.43
Al1 0.2500 0.3750 0.6250  4 S 2.26
Al2 0.1250 0.3750 0.2500  4 S 2.26
Al3 0.0000 0.0000 0.0000  6 S 2.43
Al4 0.7500 0.6250 0.3750  4 S 2.26
Al5 0.2500 0.8750 0.1250  4 S 2.26
Al6 0.0000 0.5000 0.5000  6 S 2.43
Al7 0.7500 0.1250 0.8750  4 S 2.26
Al8 0.3750 0.1250 0.7500  4 S 2.26
Al9 0.5000 0.5000 0.0000  6 S 2.43
Al10 0.8750 0.2500 0.6250  4 S 2.26
Al11 0.5000 0.0000 0.5000  6 S 2.43
Al12 0.1250 0.7500 0.3750  4 S 2.26
Al13 0.5000 0.5000 0.5000  6 S 2.43
Al14 0.6250 0.8750 0.2500  4 S 2.26
Al15 0.0000 0.5000 0.0000  6 S 2.43
Al16 0.5000 0.0000 0.0000  6 S 2.43
Al17 0.6250 0.7500 0.8750  4 S 2.26
Al18 0.8750 0.6250 0.7500  4 S 2.26
Al19 0.3750 0.2500 0.1250  4 S 2.26
Al20 0.0000 0.0000 0.5000  6 S 2.43
Pu1 0.7500 0.8750 0.6250  8 S 2.90-2.94
Pu2 0.6250 0.2500 0.3750  8 S 2.90-2.94
Pu3 0.7500 0.3750 0.1250  8 S 2.90-2.94
Pu4 0.8750 0.1250 0.2500  8 S 2.90-2.94
Pu5 0.3750 0.6250 0.2500  8 S 2.90-2.94
Pu6 0.1250 0.2500 0.8750  8 S 2.90-2.94
Pu7 0.3750 0.7500 0.6250  8 S 2.90-2.94
Pu8 0.6250 0.3750 0.7500  8 S 2.90-2.94
Pu9 0.1250 0.8750 0.7500  8 S 2.90-2.94
Pu10 0.2500 0.6250 0.8750  8 S 2.90-2.94
Pu11 0.2500 0.1250 0.3750  8 S 2.90-2.94
Pu12 0.8750 0.7500 0.1250  8 S 2.90-2.94

Properties
E_form (uncorrected)	-124	kJ per mole of atoms
density of states at the Fermi level	114.3	states/eV per cell
space group	Ia-3d, No. 230

***

# 2
## PuAlTl2S4 (PBE)

Data for crystalline PuAlTl2S4 at its relaxed geometry.

Lattice parameters (Å, degrees): 8.1769 8.1767 8.5946 121.70 121.71 90.13
With the nearest neighbours (Å) after each atom.
Fractional coordinates of all 16 atoms:
Al1 0.5000 0.5000 0.5000  6 S 2.52-2.54
Al2 0.0000 0.0000 0.0000  6 S 2.52-2.54
Tl1 0.5000 0.0000 0.0000  6 S 3.05
Tl2 0.0000 0.0000 0.5000  6 S 3.28
Tl3 0.5000 0.0000 0.5000  6 S 3.05
Tl4 0.5000 0.5000 0.0000  6 S 3.28
S1 0.8085 0.2427 0.0256  1 Al 2.52, 2 Pu 2.79
S2 0.1915 0.7573 0.9744  1 Al 2.52, 2 Pu 2.79
S3 0.7593 0.7404 0.9412  2 Al 2.54, 1 Pu 2.83
S4 0.2404 0.2593 0.4413  2 Al 2.54, 1 Pu 2.83
S5 0.7596 0.7407 0.5587  2 Al 2.54, 1 Pu 2.83
S6 0.2407 0.2596 0.0588  2 Al 2.54, 1 Pu 2.83
S7 0.7427 0.3085 0.5256  1 Al 2.52, 2 Pu 2.79
S8 0.2573 0.6915 0.4744  1 Al 2.52, 2 Pu 2.79
Pu1 0.0000 0.5000 0.0000  6 S 2.79-2.83
Pu2 0.0000 0.5000 0.5000  6 S 2.79-2.83

Properties
E_form (uncorrected)	-83	kJ per mole of atoms
density of states at the Fermi level	17.6	states/eV per cell
space group	Imma, No. 74

***

# 3
## Pu3AlTl4S8 (PBE)

Data for crystalline Pu3AlTl4S8 at its relaxed geometry.

Lattice parameters (Å, degrees): 7.9808 8.7587 7.9805 117.09 120.00 90.00
With the nearest neighbours (Å) after each atom.
Fractional coordinates of all 16 atoms:
Pu1 0.5000 0.5000 0.5000  6 S 2.73-2.77
Pu2 0.0000 0.5000 0.5000  6 S 2.73-2.77
Pu3 0.5000 0.5000 0.0000  6 S 2.73-2.77
S1 0.7854 0.3152 0.0299  1 Al 2.52, 2 Pu 2.77
S2 0.2146 0.6848 0.9701  1 Al 2.52, 2 Pu 2.77
S3 0.7320 0.6960 0.4640  3 Pu 2.73
S4 0.2446 0.3152 0.0299  1 Al 2.52, 2 Pu 2.77
S5 0.2145 0.6847 0.4291  1 Al 2.52, 2 Pu 2.77
S6 0.7855 0.3153 0.5709  1 Al 2.52, 2 Pu 2.77
S7 0.7554 0.6848 0.9701  1 Al 2.52, 2 Pu 2.77
S8 0.2680 0.3040 0.5360  3 Pu 2.73
Tl1 0.0000 0.0000 0.0000  6 S 3.23
Tl2 0.5000 0.0000 0.5000  6 S 3.23
Tl3 0.0000 0.0000 0.5000  6 S 3.23
Tl4 0.5000 0.0000 0.0000  6 S 3.42-3.43
Al1 0.0000 0.5000 0.0000  6 S 2.52

Properties
E_form (uncorrected)	-102	kJ per mole of atoms
density of states at the Fermi level	25.8	states/eV per cell
space group	R-3m, No. 166